No. 1
{
  "formula": "FeC2S",
  "functional": "GGA-PBEsol",
  "state": "relaxed",
  "lattice": [[-2.176, 2.176, 3.953], [2.176, -2.176, 3.953], [2.176, 2.176, -3.953]],
  "species": ["Fe", "Fe", "C", "C", "C", "C", "S", "S"],
  "fractional_positions": [[0.000, 0.000, 0.000], [0.750, 0.250, 0.500], [0.148, 0.625, 0.023], [0.375, 0.398, 0.523], [0.602, 0.125, 0.977], [0.875, 0.852, 0.477], [0.250, 0.750, 0.500], [0.500, 0.500, 0.000]],
  "e_form_raw_ev_per_atom": 0.88,
  "magnetic_moment_mub_per_fu": 0.0,
  "n_ef_per_ev_fu": 0.8,
  "dft_energy_ev_per_atom": -7.28
}

No. 2
{
  "formula": "LiMgBe",
  "functional": "GGA-PBEsol",
  "state": "relaxed",
  "lattice": [[0.000, 3.069, 3.069], [3.069, 0.000, 3.069], [3.069, 3.069, 0.000]],
  "species": ["Li", "Mg", "Be"],
  "fractional_positions": [[0.000, 0.000, 0.000], [0.250, 0.250, 0.250], [0.500, 0.500, 0.500]],
  "magnetic_moment_mub_per_fu": 0.0,
  "n_ef_per_ev_fu": 1.8,
  "e_form_kcal_per_mol_atoms": 16.30,
  "dft_energy_ev_per_atom": -1.85
}

No. 3
{
  "formula": "Zr3HgH",
  "functional": "GGA-PBEsol",
  "state": "relaxed",
  "lattice": [[4.393, 0.000, 0.000], [0.000, 4.393, 0.000], [0.000, 0.000, 4.393]],
  "species": ["Zr", "Zr", "Zr", "Hg", "H"],
  "fractional_positions": [[0.000, 0.000, 0.500], [0.000, 0.500, 0.000], [0.500, 0.000, 0.000], [0.500, 0.500, 0.500], [0.000, 0.000, 0.000]],
  "magnetic_moment_mub_per_fu": 0.0,
  "n_ef_per_ev_fu": 2.2,
  "dft_energy_ev_per_atom": -6.60
}

No. 4
{
  "formula": "In2CoTc",
  "functional": "GGA-PBEsol",
  "state": "relaxed",
  "lattice": [[-1.949, 1.949, 4.271], [1.949, -1.949, 4.271], [1.949, 1.949, -4.271]],
  "species": ["In", "In", "Co", "Tc"],
  "fractional_positions": [[0.000, 0.000, 0.000], [0.750, 0.250, 0.500], [0.250, 0.750, 0.500], [0.500, 0.500, 0.000]],
  "magnetic_moment_mub_per_fu": 2.8,
  "n_ef_per_ev_fu": 4.1,
  "e_form_kcal_per_mol_atoms": 8.85,
  "dft_energy_ev_per_atom": -5.86
}

No. 5
{
  "formula": "BTeO2F",
  "functional": "GGA-PBEsol",
  "state": "relaxed",
  "lattice": [[3.500, 0.000, 0.000], [0.000, 3.500, 0.000], [0.000, 0.000, 3.955]],
  "species": ["B", "Te", "O", "O", "F"],
  "fractional_positions": [[0.000, 0.000, 0.000], [0.500, 0.500, 0.500], [0.000, 0.500, 0.000], [0.500, 0.000, 0.000], [0.000, 0.000, 0.500]],
  "e_form_raw_ev_per_atom": -0.38,
  "magnetic_moment_mub_per_fu": 0.0,
  "n_ef_per_ev_fu": 1.4,
  "dft_energy_ev_per_atom": -4.98
}

No. 6
{
  "formula": "LiScBi2",
  "functional": "GGA-PBEsol",
  "state": "relaxed",
  "lattice": [[0.000, 3.652, 3.652], [3.652, 0.000, 3.652], [3.652, 3.652, 0.000]],
  "species": ["Li", "Sc", "Bi", "Bi"],
  "fractional_positions": [[0.000, 0.000, 0.000], [0.500, 0.500, 0.500], [0.250, 0.250, 0.250], [0.750, 0.750, 0.750]],
  "magnetic_moment_mub_per_fu": 0.0,
  "n_ef_per_ev_fu": 3.5,
  "e_form_kcal_per_mol_atoms": -9.37,
  "dft_energy_ev_per_atom": -4.69
}

No. 7
{
  "formula": "Cs3ScI6",
  "functional": "GGA-PBEsol",
  "state": "relaxed",
  "lattice": [[0.000, 6.358, 6.358], [6.358, 0.000, 6.358], [6.358, 6.358, 0.000]],
  "species": ["Cs", "Cs", "Cs", "Sc", "I", "I", "I", "I", "I", "I"],
  "fractional_positions": [[0.000, 0.000, 0.000], [0.250, 0.250, 0.250], [0.750, 0.750, 0.750], [0.500, 0.500, 0.500], [0.276, 0.276, 0.724], [0.276, 0.724, 0.276], [0.276, 0.724, 0.724], [0.724, 0.276, 0.276], [0.724, 0.276, 0.724], [0.724, 0.724, 0.276]],
  "e_form_raw_ev_per_atom": -1.37,
  "magnetic_moment_mub_per_fu": 0.0,
  "n_ef_per_ev_fu": 0.0,
  "dft_energy_ev_per_atom": -3.38
}

No. 8
{
  "formula": "TaGa2BF",
  "functional": "GGA-PBEsol",
  "state": "relaxed",
  "lattice": [[5.177, 0.000, 0.000], [0.000, 5.177, 0.000], [0.000, 0.000, 4.056]],
  "species": ["Ta", "Ga", "Ga", "B", "F"],
  "fractional_positions": [[0.000, 0.000, 0.000], [0.000, 0.500, 0.000], [0.500, 0.000, 0.000], [0.000, 0.000, 0.500], [0.500, 0.500, 0.500]],
  "e_form_raw_ev_per_atom": 0.72,
  "magnetic_moment_mub_per_fu": 0.0,
  "n_ef_per_ev_fu": 3.6,
  "dft_energy_ev_per_atom": -4.91
}

Question: Number 5 is which compound?
Answer: BTeO2F